A plane-wave DFT calculation with GGA-PBE was carried out for crystalline Ba2LuBiS5 at its relaxed geometry.

As for the calculated density: 5.4 g/cm3. As for the uncorrected energy: -5.27 eV per atom.

Cell: 9.0117 9.0117 13.3936 Å, 90.00 90.00 152.29°
Fractional positions:
S 0.0591 0.9409 0.4461
S 0.3200 0.6800 0.1189
S 0.3813 0.6187 0.5018
S 0.6800 0.3200 0.6189
S 0.9409 0.0591 0.9461
S 0.2784 0.7216 0.8414
S 0.6187 0.3813 0.0018
S 0.5081 0.4919 0.2269
S 0.4919 0.5081 0.7269
S 0.7216 0.2784 0.3414
Ba 0.8612 0.1388 0.6960
Ba 0.1388 0.8612 0.1960
Ba 0.8973 0.1027 0.3180
Ba 0.1027 0.8973 0.8180
Bi 0.2166 0.7834 0.4808
Bi 0.7834 0.2166 0.9808
Lu 0.4655 0.5345 0.0462
Lu 0.5345 0.4655 0.5462

***

A plane-wave DFT calculation with GGA-PBE was carried out for crystalline NdBePt at its relaxed geometry.

The calculation puts the energy relative to the lowest polymorph listed for this composition at 0.0151 eV/atom. As for the calculated density: 9.6 g/cm3.

Cell: 4.4048 4.4048 4.4048 Å, 60.00 60.00 60.00°
Fractional positions:
Pt 0.7500 0.7500 0.7500
Nd 0.2500 0.2500 0.2500
Be 0.0000 0.0000 0.0000

***

A plane-wave DFT calculation with GGA-PBE was carried out for crystalline MgZrTl2Cl6 at its relaxed geometry.

The calculation puts the energy relative to the lowest polymorph listed for this composition at 0.0669 eV/atom. As for the calculated density: 4.6 g/cm3.

Cell: 7.0472 7.0472 5.8859 Å, 91.58 91.58 64.82°
Fractional positions:
Zr 0.0000 0.0000 0.0000
Cl 0.1966 0.6483 0.2289
Cl 0.1561 0.1561 0.2920
Cl 0.6483 0.1966 0.2289
Cl 0.8034 0.3517 0.7711
Cl 0.3517 0.8034 0.7711
Cl 0.8439 0.8439 0.7080
Mg 0.5000 0.5000 0.5000
Tl 0.2707 0.2707 0.7925
Tl 0.7293 0.7293 0.2075

***

A plane-wave DFT calculation with GGA-PBE was carried out for crystalline DyGaSiPt2 at its relaxed geometry.

The calculation puts the energy relative to the lowest polymorph listed for this composition at 0.0589 eV/atom. As for the calculated density: 12.0 g/cm3.

Cell: 4.1907 4.1907 10.2507 Å, 90.00 90.00 90.00°
Fractional positions:
Dy 0.5000 0.0000 0.7399
Dy 0.0000 0.5000 0.2601
Pt 0.5000 0.5000 0.0000
Pt 0.5000 0.0000 0.3821
Pt 0.0000 0.5000 0.6179
Pt 0.0000 0.0000 0.0000
Ga 0.5000 0.0000 0.1408
Ga 0.0000 0.5000 0.8592
Si 0.0000 0.0000 0.5000
Si 0.5000 0.5000 0.5000

***

A plane-wave DFT calculation with GGA-PBE was carried out for crystalline Dy3Zn2InPdPt2 at its relaxed geometry.

As for the calculated density: 11.0 g/cm3. As for the uncorrected energy: -4.96 eV per atom.

Cell: 3.8406 7.4496 7.4496 Å, 119.88 90.00 90.00°
Fractional positions:
Dy 0.5000 0.5859 0.0038
Dy 0.5000 0.0038 0.5859
Dy 0.5000 0.3990 0.3990
Pt 0.0000 0.6645 0.3298
Pt 0.0000 0.3298 0.6645
Zn 0.0000 0.2532 0.9953
Zn 0.0000 0.9953 0.2532
Pd 0.5000 0.0153 0.0153
In 0.0000 0.7532 0.7532

***

A plane-wave DFT calculation with GGA-PBE was carried out for crystalline Tc2Bi5O12 at its relaxed geometry.

As for the calculated density: 8.7 g/cm3. As for the uncorrected energy: -6.57 eV per atom.

Cell: 7.0627 7.0627 7.7384 Å, 106.47 106.47 47.98°
Fractional positions:
O 0.0971 0.5921 0.4213
O 0.4079 0.9029 0.5787
O 0.4058 0.9153 0.0880
O 0.0847 0.5942 0.9120
O 0.9966 0.9966 0.1972
O 0.5004 0.5004 0.8334
O 0.9029 0.4079 0.5787
O 0.5921 0.0971 0.4213
O 0.5942 0.0847 0.9120
O 0.0034 0.0034 0.8028
O 0.9153 0.4058 0.0880
O 0.4996 0.4996 0.1666
Bi 0.6921 0.6921 0.3527
Bi 0.0000 0.0000 0.5000
Bi 0.3079 0.3079 0.6473
Bi 0.6905 0.6905 0.8300
Bi 0.3095 0.3095 0.1700
Tc 0.7837 0.2163 0.0000
Tc 0.2163 0.7837 0.0000

***

A plane-wave DFT calculation with GGA-PBE was carried out for crystalline HgGeB2 at its relaxed geometry.

As for the calculated density: 8.0 g/cm3. As for the uncorrected energy: -2.76 eV per atom.

Cell: 4.4180 4.4180 4.4180 Å, 60.00 60.00 60.00°
Fractional positions:
B 0.7500 0.7500 0.7500
B 0.0000 0.0000 0.0000
Hg 0.2500 0.2500 0.2500
Ge 0.5000 0.5000 0.5000

***

A plane-wave DFT calculation with GGA-PBE was carried out for crystalline CsTbPt at its relaxed geometry.

The calculation puts the energy relative to the lowest polymorph listed for this composition at 0.6996 eV/atom. As for the calculated density: 9.3 g/cm3.

Cell: 4.9725 4.9725 4.9725 Å, 60.00 60.00 60.00°
Fractional positions:
Tb 0.2500 0.2500 0.2500
Pt 0.7500 0.7500 0.7500
Cs 0.0000 0.0000 0.0000

***

A plane-wave DFT calculation with GGA-PBE was carried out for crystalline KHoO3 at its relaxed geometry.

As for the calculated density: 4.9 g/cm3. As for the uncorrected energy: -6.00 eV per atom.

Cell: 6.1925 6.2319 8.7818 Å, 90.00 90.00 90.00°
Fractional positions:
Ho 0.0000 0.5000 0.0000
Ho 0.5000 0.0000 0.0000
Ho 0.0000 0.5000 0.5000
Ho 0.5000 0.0000 0.5000
O 0.2324 0.2318 0.9850
O 0.7676 0.7682 0.4850
O 0.0316 0.4888 0.2500
O 0.7324 0.2682 0.0150
O 0.2324 0.2318 0.5150
O 0.7324 0.2682 0.4850
O 0.5316 0.0112 0.7500
O 0.4684 0.9888 0.2500
O 0.9684 0.5112 0.7500
O 0.2676 0.7318 0.9850
O 0.2676 0.7318 0.5150
O 0.7676 0.7682 0.0150
K 0.5006 0.5049 0.2500
K 0.4994 0.4951 0.7500
K 0.9994 0.0049 0.2500
K 0.0006 0.9951 0.7500

***

A plane-wave DFT calculation with GGA-PBE was carried out for crystalline SnPd15 at its relaxed geometry.

The calculation puts the energy relative to the lowest polymorph listed for this composition at 0.0814 eV/atom. As for the calculated density: 7.6 g/cm3.

Cell: 7.7389 2.7988 34.5881 Å, 90.00 90.00 90.00°
Fractional positions:
Pd 0.1247 0.0000 0.6015
Pd 0.6251 0.0000 0.2765
Pd 0.8745 0.5000 0.4796
Pd 0.1255 0.0000 0.5204
Pd 0.3749 0.5000 0.7236
Pd 0.3730 0.5000 0.3168
Pd 0.1248 0.0000 0.2761
Pd 0.3745 0.5000 0.3984
Pd 0.8753 0.5000 0.3984
Pd 0.1253 0.0000 0.4394
Pd 0.3724 0.5000 0.2333
Pd 0.6250 0.0000 0.3573
Pd 0.3753 0.5000 0.8041
Pd 0.6247 0.0000 0.1961
Pd 0.6245 0.0000 0.5202
Pd 0.6246 0.0000 0.4387
Pd 0.3750 0.5000 0.6427
Pd 0.8747 0.5000 0.5605
Pd 0.8750 0.5000 0.6419
Pd 0.1249 0.0000 0.3581
Pd 0.8769 0.5000 0.3168
Pd 0.6270 0.0000 0.6832
Pd 0.8752 0.5000 0.7240
Pd 0.6254 0.0000 0.6016
Pd 0.6273 0.0000 0.7668
Pd 0.3754 0.5000 0.5612
Pd 0.3755 0.5000 0.4798
Pd 0.1231 0.0000 0.6832
Pd 0.1229 0.0000 0.7669
Pd 0.8774 0.5000 0.2332
Sn 0.1251 0.0000 0.1936
Sn 0.8749 0.5000 0.8064

***

A plane-wave DFT calculation with GGA-PBE was carried out for crystalline TaNbCuSb at its relaxed geometry.

The calculation puts the energy relative to the lowest polymorph listed for this composition at 0.0000 eV/atom. As for the calculated density: 10.8 g/cm3.

Cell: 4.6459 4.6459 4.6459 Å, 60.00 60.00 60.00°
Fractional positions:
Cu 0.7500 0.7500 0.7500
Nb 0.2500 0.2500 0.2500
Ta 0.5000 0.5000 0.5000
Sb 0.0000 0.0000 0.0000

***

A plane-wave DFT calculation with GGA-PBE was carried out for crystalline HoSi2Ni at its relaxed geometry.

As for the calculated density: 7.2 g/cm3. As for the uncorrected energy: -6.08 eV per atom.

Cell: 3.9598 8.4417 8.4417 Å, 27.19 90.00 90.00°
Fractional positions:
Ho 0.5000 0.3945 0.3945
Ho 0.0000 0.6053 0.6053
Si 0.0000 0.2501 0.2501
Si 0.5000 0.0396 0.0396
Si 0.5000 0.7502 0.7502
Si 0.0000 0.9601 0.9601
Ni 0.5000 0.1771 0.1771
Ni 0.0000 0.8230 0.8230

***

- What is the calculated density in the eighth record?
  9.3 g/cm3

***

- Among the records above, which one has the lowest calculated density?
  MgZrTl2Cl6